[1]
A relaxed structure of BePt2Au, computed with PBE.

Computed properties:
Space-group type = Cmmm, No. 65

Cell lengths 4.6024, 4.6024, 2.9156 Å; angles 90.00, 90.00, 105.05 degrees
Element x y z (fractional)
Pt  0.5000  0.5000  0.0000
Pt  0.0000  0.0000  0.0000
Au  0.5000  0.0000  0.5000
Be  0.0000  0.5000  0.5000

=====

[2]
A relaxed structure of BePt2Au, computed with PBE.

Computed properties:
Space-group type = P4mm, No. 99

Cell lengths 2.8157, 2.8158, 7.1986 Å; angles 90.00, 90.00, 90.05 degrees
Element x y z (fractional)
Pt  0.0000  0.0000  0.9505
Au  0.0000  0.0000  0.5399
Be  0.5000  0.5000  0.7685
Pt  0.5000  0.5000  0.2411

=====

[3]
A relaxed structure of BePt2Au, computed with PBE.

Computed properties:
Space-group type = I-4m2, No. 119

Cell lengths 4.7263, 4.7263, 4.7263 Å; angles 130.42, 130.42, 72.73 degrees
Element x y z (fractional)
Pt  0.2500  0.7500  0.5000
Au  0.5000  0.5000  0.0000
Pt  0.0000  0.0000  0.0000
Be  0.7500  0.2500  0.5000

=====

[4]
A relaxed structure of Be2PtAu, computed with PBE.

Computed properties:
Space-group type = Pm, No. 6

Cell lengths 3.8529, 2.8572, 4.7119 Å; angles 72.13, 90.00, 90.00 degrees
Element x y z (fractional)
Pt  0.0000  0.4784  0.4124
Be  0.5000  0.0466  0.2842
Be  0.0000  0.1981  0.9779
Au  0.5000  0.7769  0.8256

=====

[5]
A relaxed structure of BePtAu, computed with PBE.

Computed properties:
Space-group type = P3m1, No. 156
Distance to the lowest polymorph of the same formula = 136 meV/atom

Cell lengths 2.8417, 2.8417, 6.1485 Å; angles 90.00, 90.00, 120.00 degrees
Element x y z (fractional)
Be  0.3333  0.6667  0.3474
Au  0.0000  0.0000  0.0378
Pt  0.6667  0.3333  0.6149

=====

[6]
A relaxed structure of BePt2Au, computed with PBE.

Computed properties:
Space-group type = R3m, No. 160

Cell lengths 3.5869, 3.5869, 6.0308 Å; angles 72.70, 72.70, 60.00 degrees
Element x y z (fractional)
Be  0.6660  0.6660  0.0020
Pt  0.2764  0.2764  0.1707
Au  0.5006  0.5006  0.4982
Pt  0.0570  0.0570  0.8291

=====

Computed DFT formation energy, in the same sequence as the records: -108; -288; -64; -404; -267; -156 meV/atom.